Record 1
The following is a meta-GGA SCAN calculation of a PBEsol-optimized structure of NbSiS2, from the Alexandria database.

Cell: 5.4797 5.4797 10.1837 Å, 90.00 90.00 90.00°
Last column: nearest neighbours and their distance in Å.
Fractional positions:
1 Nb 0.0000 0.0000 0.0000  4 S 2.39
2 Nb 0.0000 0.5000 0.2500  4 S 2.39
3 Nb 0.5000 0.0000 0.7500  4 S 2.39
4 Nb 0.5000 0.5000 0.5000  4 S 2.39
5 Si 0.0000 0.0000 0.5000  4 S 2.25
6 Si 0.0000 0.5000 0.7500  4 S 2.25
7 Si 0.5000 0.0000 0.2500  4 S 2.25
8 Si 0.5000 0.5000 0.0000  4 S 2.25
9 S 0.2275 0.2500 0.6250  2 Si 2.25, 2 Nb 2.39
10 S 0.2500 0.7275 0.8750  2 Si 2.25, 2 Nb 2.39
11 S 0.2500 0.7725 0.3750  2 Si 2.25, 2 Nb 2.39
12 S 0.2725 0.2500 0.1250  2 Si 2.25, 2 Nb 2.39
13 S 0.7275 0.7500 0.1250  2 Si 2.25, 2 Nb 2.39
14 S 0.7500 0.2275 0.3750  2 Si 2.25, 2 Nb 2.39
15 S 0.7500 0.2725 0.8750  2 Si 2.25, 2 Nb 2.39
16 S 0.7725 0.7500 0.6250  2 Si 2.25, 2 Nb 2.39

- Space group: I-42d, No. 122
- Fermi-level density of states: 7.7 states/eV/cell
- Size of the total moment: 1.12 μB/f.u.
- Raw formation energy: 25 meV/atom

---

Record 2
The following is a meta-GGA SCAN calculation of a PBEsol-optimized structure of NaCa2I, from the Alexandria database.

Cell: 9.1201 9.1201 7.5696 Å, 90.00 90.00 90.00°
Last column: nearest neighbours and their distance in Å.
Fractional positions:
1 Na 0.0000 0.0000 0.0000  4 Ca 3.56, 2 I 3.78
2 Na 0.0000 0.5000 0.2500  4 Ca 3.56, 2 I 3.78
3 Na 0.5000 0.0000 0.7500  4 Ca 3.56, 2 I 3.78
4 Na 0.5000 0.5000 0.5000  4 Ca 3.56, 2 I 3.78
5 Ca 0.2192 0.7500 0.6250  2 I 3.18, 2 Na 3.56
6 Ca 0.2500 0.2192 0.3750  2 I 3.18, 2 Na 3.56
7 Ca 0.2500 0.2808 0.8750  2 I 3.18, 2 Na 3.56
8 Ca 0.2808 0.7500 0.1250  2 I 3.18, 2 Na 3.56
9 Ca 0.7192 0.2500 0.1250  2 I 3.18, 2 Na 3.56
10 Ca 0.7500 0.7192 0.8750  2 I 3.18, 2 Na 3.56
11 Ca 0.7500 0.7808 0.3750  2 I 3.18, 2 Na 3.56
12 Ca 0.7808 0.2500 0.6250  2 I 3.18, 2 Na 3.56
13 I 0.0000 0.0000 0.5000  4 Ca 3.18
14 I 0.0000 0.5000 0.7500  4 Ca 3.18
15 I 0.5000 0.0000 0.2500  4 Ca 3.18
16 I 0.5000 0.5000 0.0000  4 Ca 3.18

- Space group: I-42d, No. 122
- Fermi-level density of states: 9.7 states/eV/cell
- Size of the total moment: 0.09 μB/f.u.
- Raw formation energy: -303 meV/atom

---

Record 3
The following is a meta-GGA SCAN calculation of a PBEsol-optimized structure of HfSbSI2, from the Alexandria database.

Cell: 5.0736 5.0736 5.4977 Å, 90.00 90.00 90.00°
Last column: nearest neighbours and their distance in Å.
Fractional positions:
1 Hf 0.0000 0.0000 0.0000  4 Sb 3.59, 8 I 3.74
2 Sb 0.5000 0.5000 0.0000  2 S 2.75
3 S 0.5000 0.5000 0.5000  4 I 2.54, 2 Sb 2.75
4 I 0.0000 0.5000 0.5000  2 S 2.54
5 I 0.5000 0.0000 0.5000  2 S 2.54

- Space group: P4/mmm, No. 123
- Fermi-level density of states: 4.1 states/eV/cell
- Size of the total moment: 1.13 μB/f.u.
- Raw formation energy: 907 meV/atom

---

no.,mass density (g cm⁻³),electronic total energy (eV for the cell shown)
1,4.02,-249.2
2,2.43,-246.0
3,6.88,-178.5